1.
# Zr2TaAu, relaxed, DFT GGA-PBE
# Crystal system: trigonal
# Calculated density: 11.20 g/cm³
# Space group: R-3m
# ΔH_f (0 K): -0.2 eV/f.u.
# E: -32.4 eV per cell
data_Zr2TaAu
_chemical_formula_sum 'Zr2 Ta1 Au1'
_cell_length_a 9.680
_cell_length_b 9.680
_cell_length_c 9.680
_cell_angle_alpha 18.89
_cell_angle_beta 18.89
_cell_angle_gamma 18.89
_symmetry_space_group_name_H-M 'P 1'
_symmetry_Int_Tables_number 1
loop_
_symmetry_equiv_pos_as_xyz
'x,y,z'
loop_
_atom_site_label
_atom_site_type_symbol
_atom_site_fract_x
_atom_site_fract_y
_atom_site_fract_z
Zr1 Zr 0.250 0.250 0.250
Zr2 Zr 0.750 0.750 0.750
Ta1 Ta 0.500 0.500 0.500
Au1 Au 0.000 0.000 0.000

---

2.
# Na4SrPb15, relaxed, DFT GGA-PBE
# Crystal system: tetragonal
# Calculated density: 8.98 g/cm³
# Space group: P4/mmm
# ΔH_f (0 K): -3.1 eV/f.u.
# E: -65.7 eV per cell
data_Na4SrPb15
_chemical_formula_sum 'Na4 Sr1 Pb15'
_cell_length_a 5.015
_cell_length_b 5.015
_cell_length_c 24.159
_cell_angle_alpha 90.00
_cell_angle_beta 90.00
_cell_angle_gamma 90.00
_symmetry_space_group_name_H-M 'P 1'
_symmetry_Int_Tables_number 1
loop_
_symmetry_equiv_pos_as_xyz
'x,y,z'
loop_
_atom_site_label
_atom_site_type_symbol
_atom_site_fract_x
_atom_site_fract_y
_atom_site_fract_z
Na1 Na 0.000 0.000 0.099
Na2 Na 0.000 0.000 0.298
Na3 Na 0.000 0.000 0.702
Na4 Na 0.000 0.000 0.901
Sr1 Sr 0.000 0.000 0.500
Pb1 Pb 0.000 0.500 0.000
Pb2 Pb 0.000 0.500 0.198
Pb3 Pb 0.000 0.500 0.395
Pb4 Pb 0.000 0.500 0.605
Pb5 Pb 0.000 0.500 0.802
Pb6 Pb 0.500 0.000 0.000
Pb7 Pb 0.500 0.000 0.198
Pb8 Pb 0.500 0.000 0.395
Pb9 Pb 0.500 0.000 0.605
Pb10 Pb 0.500 0.000 0.802
Pb11 Pb 0.500 0.500 0.099
Pb12 Pb 0.500 0.500 0.296
Pb13 Pb 0.500 0.500 0.500
Pb14 Pb 0.500 0.500 0.704
Pb15 Pb 0.500 0.500 0.901

---

3.
# PuTaTc4, relaxed, DFT GGA-PBE
# Crystal system: cubic
# Calculated density: 13.10 g/cm³
# Space group: F-43m
# ΔH_f (0 K): 0.3 eV/f.u.
# E: -67.3 eV per cell
data_PuTaTc4
_chemical_formula_sum 'Pu1 Ta1 Tc4'
_cell_length_a 5.271
_cell_length_b 5.271
_cell_length_c 5.271
_cell_angle_alpha 60.00
_cell_angle_beta 60.00
_cell_angle_gamma 60.00
_symmetry_space_group_name_H-M 'P 1'
_symmetry_Int_Tables_number 1
loop_
_symmetry_equiv_pos_as_xyz
'x,y,z'
loop_
_atom_site_label
_atom_site_type_symbol
_atom_site_fract_x
_atom_site_fract_y
_atom_site_fract_z
Pu1 Pu 0.000 0.000 0.000
Ta1 Ta 0.750 0.750 0.750
Tc1 Tc 0.376 0.376 0.376
Tc2 Tc 0.376 0.376 0.873
Tc3 Tc 0.376 0.873 0.376
Tc4 Tc 0.873 0.376 0.376

---

4.
# TbThMgOs, relaxed, DFT GGA-PBE
# Crystal system: cubic
# Calculated density: 10.65 g/cm³
# Space group: F-43m
# ΔH_f (0 K): -0.3 eV/f.u.
# E: -25.2 eV per cell
data_TbThMgOs
_chemical_formula_sum 'Tb1 Th1 Mg1 Os1'
_cell_length_a 5.112
_cell_length_b 5.112
_cell_length_c 5.112
_cell_angle_alpha 60.00
_cell_angle_beta 60.00
_cell_angle_gamma 60.00
_symmetry_space_group_name_H-M 'P 1'
_symmetry_Int_Tables_number 1
loop_
_symmetry_equiv_pos_as_xyz
'x,y,z'
loop_
_atom_site_label
_atom_site_type_symbol
_atom_site_fract_x
_atom_site_fract_y
_atom_site_fract_z
Tb1 Tb 0.000 0.000 0.000
Th1 Th 0.500 0.500 0.500
Mg1 Mg 0.750 0.750 0.750
Os1 Os 0.250 0.250 0.250

---

5.
# Ge3TeH, relaxed, DFT GGA-PBE
# Crystal system: cubic
# Calculated density: 3.31 g/cm³
# Space group: Pm-3m
# E: -13.4 eV per cell
data_Ge3TeH
_chemical_formula_sum 'Ge3 Te1 H1'
_cell_length_a 5.580
_cell_length_b 5.580
_cell_length_c 5.580
_cell_angle_alpha 90.00
_cell_angle_beta 90.00
_cell_angle_gamma 90.00
_symmetry_space_group_name_H-M 'P 1'
_symmetry_Int_Tables_number 1
loop_
_symmetry_equiv_pos_as_xyz
'x,y,z'
loop_
_atom_site_label
_atom_site_type_symbol
_atom_site_fract_x
_atom_site_fract_y
_atom_site_fract_z
Ge1 Ge 0.000 0.000 0.500
Ge2 Ge 0.000 0.500 0.000
Ge3 Ge 0.500 0.000 0.000
Te1 Te 0.000 0.000 0.000
H1 H 0.500 0.500 0.500

---

6.
# ScTl2Te, relaxed, DFT GGA-PBE
# Crystal system: tetragonal
# Formation energy (no corrections): -0.14 eV per atom
# Calculated density: 8.73 g/cm³
# Space group: P4/mmm
# E: -14.8 eV per cell
data_ScTl2Te
_chemical_formula_sum 'Sc1 Tl2 Te1'
_cell_length_a 4.218
_cell_length_b 4.218
_cell_length_c 6.212
_cell_angle_alpha 90.00
_cell_angle_beta 90.00
_cell_angle_gamma 90.00
_symmetry_space_group_name_H-M 'P 1'
_symmetry_Int_Tables_number 1
loop_
_symmetry_equiv_pos_as_xyz
'x,y,z'
loop_
_atom_site_label
_atom_site_type_symbol
_atom_site_fract_x
_atom_site_fract_y
_atom_site_fract_z
Sc1 Sc 0.000 0.000 0.000
Tl1 Tl 0.500 0.500 0.243
Tl2 Tl 0.500 0.500 0.757
Te1 Te 0.000 0.000 0.500

---

7.
# BaZnCo2, relaxed, DFT GGA-PBE
# Crystal system: monoclinic
# Calculated density: 6.16 g/cm³
# Space group: Cm
# ΔH_f (0 K): 0.2 eV/f.u.
# E: -17.2 eV per cell
data_BaZnCo2
_chemical_formula_sum 'Ba1 Zn1 Co2'
_cell_length_a 4.160
_cell_length_b 4.160
_cell_length_c 6.247
_cell_angle_alpha 109.51
_cell_angle_beta 109.51
_cell_angle_gamma 60.01
_symmetry_space_group_name_H-M 'P 1'
_symmetry_Int_Tables_number 1
loop_
_symmetry_equiv_pos_as_xyz
'x,y,z'
loop_
_atom_site_label
_atom_site_type_symbol
_atom_site_fract_x
_atom_site_fract_y
_atom_site_fract_z
Ba1 Ba 0.000 0.000 0.000
Zn1 Zn 0.186 0.186 0.558
Co1 Co 0.485 0.485 0.455
Co2 Co 0.811 0.811 0.433

---

8.
# ErAlCrGe2, relaxed, DFT GGA-PBE
# Crystal system: orthorhombic
# Calculated density: 7.37 g/cm³
# Space group: Pmma
# ΔH_f (0 K): -1.7 eV/f.u.
# E: -57.6 eV per cell
data_ErAlCrGe2
_chemical_formula_sum 'Er2 Al2 Cr2 Ge4'
_cell_length_a 5.398
_cell_length_b 5.655
_cell_length_c 5.777
_cell_angle_alpha 90.00
_cell_angle_beta 90.00
_cell_angle_gamma 90.00
_symmetry_space_group_name_H-M 'P 1'
_symmetry_Int_Tables_number 1
loop_
_symmetry_equiv_pos_as_xyz
'x,y,z'
loop_
_atom_site_label
_atom_site_type_symbol
_atom_site_fract_x
_atom_site_fract_y
_atom_site_fract_z
Er1 Er 0.250 0.000 0.216
Er2 Er 0.750 0.000 0.784
Al1 Al 0.250 0.500 0.368
Al2 Al 0.750 0.500 0.632
Cr1 Cr 0.000 0.500 0.000
Cr2 Cr 0.500 0.500 0.000
Ge1 Ge 0.250 0.235 0.737
Ge2 Ge 0.250 0.765 0.737
Ge3 Ge 0.750 0.235 0.263
Ge4 Ge 0.750 0.765 0.263

---

| no. | calculated volume (Å³/atom) | total magnetization (μB per cell) |
| --- | --- | --- |
| 1 | 20.77 | 0.0 |
| 2 | 30.38 | 0.0 |
| 3 | 17.26 | 4.5 |
| 4 | 23.61 | 0.0 |
| 5 | 34.75 | 0.5 |
| 6 | 27.63 | 0.0 |
| 7 | 21.60 | 2.5 |
| 8 | 17.63 | 0.5 |